1.
{"formula": "Ta2Fe3", "functional": "PBE-GGA", "state": "optimized geometry", "e_above_lowest_polymorph_mev_per_atom": 385, "energy_ha_per_atom": -0.3482, "crystal_system": "trigonal", "n_ef_per_ev_fu": 6.63, "m_tot_mub_per_cell": 0.976, "formation_enthalpy_0k_ev_per_atom": 0.344, "cell": [[2.080, -3.602, 0.000], [2.080, 3.602, 0.000], [0.000, 0.000, 5.029]], "species": ["Ta", "Ta", "Fe", "Fe", "Fe"], "fractional_positions": [[0.667, 0.333, 0.196], [0.333, 0.667, 0.804], [0.000, 0.000, 0.000], [0.667, 0.333, 0.685], [0.333, 0.667, 0.315]]}

=====

2.
{"formula": "TaFe2", "functional": "PBE-GGA", "state": "optimized geometry", "energy_ha_per_atom": -0.3437, "crystal_system": "trigonal", "n_ef_per_ev_fu": 2.40, "m_tot_mub_per_cell": 4.200, "formation_enthalpy_0k_ev_per_atom": 0.241, "cell": [[-1.493, -0.216, -2.385], [0.931, -2.327, 1.297], [-5.230, -0.254, 3.296]], "species": ["Fe", "Fe", "Ta"], "fractional_positions": [[0.000, 0.000, 0.982], [0.333, 0.667, 0.684], [0.667, 0.333, 0.333]]}

=====

3.
{"formula": "TaFe", "functional": "PBE-GGA", "state": "optimized geometry", "energy_ha_per_atom": -0.3164, "crystal_system": "cubic", "n_ef_per_ev_fu": 4.26, "m_tot_mub_per_cell": 0.002, "formation_enthalpy_0k_ev_per_atom": 1.548, "cell": [[3.856, 0.000, 0.000], [1.928, 3.339, 0.000], [-1.928, -1.113, 3.148]], "species": ["Fe", "Ta"], "fractional_positions": [[0.000, 0.000, 0.000], [0.750, 0.750, 0.250]]}